--- P ---
DFT (PBE with a Hubbard U) results for NiIrN2F after structural relaxation.

The density is 5.8 Mg/m³. For the total moment, the calculation gives 1.5 Bohr magnetons per cell.

It has space group P4/mmm (No. 123), with a = 3.669 Å, b = 3.669 Å, c = 6.373 Å, α = 90.00°, β = 90.00° and γ = 90.00°. The inequivalent atoms are Ni at (0.000, 0.000, 0.000), Ir at (0.500, 0.500, 0.500), N at (0.000, 0.500, 0.500) and F at (0.500, 0.500, 0.000).

--- Q ---
DFT (PBE with a Hubbard U) results for NiIrN2F after structural relaxation.

The density is 9.4 Mg/m³. For the total moment, the calculation gives 0.3 Bohr magnetons per cell.

It has space group P4/mmm (No. 123), with a = 3.831 Å, b = 3.831 Å, c = 3.570 Å, α = 90.00°, β = 90.00° and γ = 90.00°. The inequivalent atoms are Ni at (0.000, 0.000, 0.000), Ir at (0.500, 0.500, 0.500), N at (0.000, 0.500, 0.000) and F at (0.000, 0.000, 0.500).

Bottom line: P, by a margin of 720 meV/atom.